[1]
A relaxed BeRh2W crystal, computed with PBE.

abc: 4.515 4.515 2.767
angles: 90.00 90.00 103.39
Sites, in units of the cell vectors:
Be1 0.000 0.000 0.000
Rh1 0.000 0.500 0.500
Rh2 0.500 0.000 0.500
W1 0.500 0.500 0.000

Its space-group type is Cmmm, No. 65. The calculated formation energy comes out at -0.113 eV per atom. The value obtained for the density of states at the Fermi level is 2.86 states/eV/cell.

---

[2]
A relaxed Be2RhW crystal, computed with PBE.

abc: 7.665 7.665 7.665
angles: 20.77 20.77 20.77
Sites, in units of the cell vectors:
Be1 0.243 0.243 0.243
Be2 0.757 0.757 0.757
Rh1 0.500 0.500 0.500
W1 0.000 0.000 0.000

Its space-group type is R-3m, No. 166. The calculated formation energy comes out at 0.066 eV per atom. For the energy relative to the lowest polymorph listed for this composition, the calculation gives 317 meV/atom. The value obtained for the density of states at the Fermi level is 4.35 states/eV/cell.

---

[3]
A relaxed BeRhW crystal, computed with PBE.

abc: 4.071 4.071 4.071
angles: 60.00 60.00 60.00
Sites, in units of the cell vectors:
Be1 0.000 0.000 0.000
Rh1 0.500 0.500 0.500
W1 0.250 0.250 0.250

Its space-group type is F-43m, No. 216. The calculated formation energy comes out at 0.664 eV per atom. For the energy relative to the lowest polymorph listed for this composition, the calculation gives 919 meV/atom. The value obtained for the density of states at the Fermi level is 3.52 states/eV/cell.

---

[4]
A relaxed Be2RhW crystal, computed with PBE.

abc: 2.775 2.775 6.035
angles: 90.00 90.00 90.00
Sites, in units of the cell vectors:
Be1 0.000 0.000 0.000
Be2 0.500 0.500 0.190
Rh1 0.000 0.000 0.409
W1 0.500 0.500 0.722

Its space-group type is P4mm, No. 99. The calculated formation energy comes out at -0.228 eV per atom. For the energy relative to the lowest polymorph listed for this composition, the calculation gives 23 meV/atom. The value obtained for the density of states at the Fermi level is 1.36 states/eV/cell.

---

Question: Among the records above, which one has the highest calculated formation energy?
Answer: BeRhW

---

Question: Look up the calculated formation energy of the third one.
Answer: 0.664 eV per atom